This record from the Alexandria database describes crystalline CsV3C at its relaxed geometry. The functional is PBE-GGA.

Values from the calculation:
Crystal system ... cubic
Density ... 4.67 g/cm3
Energy above the lowest structure with this stoichiometry ... 13.22 eV/f.u.

Structure (POSCAR):
```
CsV3C
1.0
4.730 0.000 0.000
0.000 4.730 0.000
0.000 0.000 4.730
Cs V C
1 3 1
Direct
0.000 0.000 0.000
0.000 0.000 0.500
0.000 0.500 0.000
0.500 0.000 0.000
0.500 0.500 0.500
```